{
  "formula": "LiMnAu4",
  "functional": "PBE",
  "state": "relaxed",
  "lattice_angstrom": [[-0.5535, -2.9168, 1.3693], [-0.1924, -1.3570, -2.9684], [9.2268, -1.6728, 0.1667]],
  "species": ["Au", "Au", "Au", "Au", "Mn", "Li"],
  "frac_coords": [[0.0000, 0.0000, 0.6596], [0.0000, 0.0000, 0.3404], [0.5000, 0.5000, 0.1518], [0.5000, 0.5000, 0.8482], [0.5000, 0.5000, 0.5000], [0.0000, 0.0000, 0.0000]],
  "e_tot_ev_per_atom": -4.250,
  "spacegroup": "P4/mmm, No. 123",
  "e_above_lowest_polymorph_mev_per_atom": 0,
  "total_magnetization_mub_per_cell": 4.12,
  "formation_enthalpy_0k_kj_per_mol_atoms": -21.0
}